First-principles (GGA-PBE) data for crystalline KZnSbO2 at its relaxed geometry, as listed in Alexandria via LeMat-Bulk.

- Spin magnetization: 0.7818 μB per atom
- E_form (uncorrected): 80 kJ per mole of atoms
- VASP energy: -12.27 eV per cell
- Space-group type: P4/mmm

abc: 4.593 7.137 4.593
angles: 90.00 90.00 90.00
Each line ends with the local moment (μB).
Fractional coordinates of all 5 atoms:
Sb: 0.000 0.500 0.000  0.44
Zn: 0.500 0.500 0.500  0.00
K: 0.000 0.000 0.000  0.08
O: 0.000 0.000 0.500  1.27
O: 0.500 0.000 0.000  0.90


First-principles (GGA-PBE) data for crystalline NaYTi at its relaxed geometry, as listed in Alexandria via LeMat-Bulk.

- Spin magnetization: 0.0001 μB per atom
- VASP energy: -29.46 eV per cell
- E_form: 0.316 eV per atom
- Space-group type: P-1

abc: 5.514 3.279 9.288
angles: 79.93 84.29 89.98
Fractional coordinates of all 6 atoms:
Y: 0.315 0.421 0.661
Y: 0.685 0.579 0.339
Na: 0.761 0.280 0.936
Na: 0.239 0.720 0.064
Ti: 0.824 0.946 0.607
Ti: 0.176 0.054 0.393


First-principles (GGA-PBE) data for crystalline Pm5ZrP6 at its relaxed geometry, as listed in Alexandria via LeMat-Bulk.

- Spin magnetization: 0.0000 μB per atom
- VASP energy: -83.01 eV per cell
- E_form: -1.521 eV per atom
- Space-group type: C2/m

abc: 7.032 7.033 7.029
angles: 59.98 80.39 70.50
Fractional coordinates of all 12 atoms:
P: 0.760 0.080 0.319
P: 0.240 0.601 0.319
P: 0.243 0.238 0.000
P: 0.757 0.762 0.000
P: 0.760 0.399 0.681
P: 0.240 0.920 0.681
Zr: 0.000 0.000 0.000
Pm: 0.500 0.169 0.661
Pm: 0.000 0.334 0.332
Pm: 0.500 0.500 0.000
Pm: 0.000 0.666 0.668
Pm: 0.500 0.831 0.339


First-principles (GGA-PBE) data for crystalline Pm6PrDy3Tm2 at its relaxed geometry, as listed in Alexandria via LeMat-Bulk.

- Spin magnetization: 0.0000 μB per atom
- VASP energy: -55.85 eV per cell
- E_form: 0.015 eV per atom
- Space-group type: C2/m

abc: 6.244 6.244 11.885
angles: 95.01 95.01 119.98
Fractional coordinates of all 12 atoms:
Pm: 0.916 0.581 0.749
Pm: 0.750 0.750 0.251
Pm: 0.084 0.419 0.251
Pm: 0.581 0.916 0.749
Pm: 0.250 0.250 0.749
Pm: 0.419 0.084 0.251
Pr: 0.000 0.000 0.000
Dy: 0.167 0.833 0.500
Dy: 0.833 0.167 0.500
Dy: 0.500 0.500 0.500
Tm: 0.333 0.667 0.000
Tm: 0.667 0.333 0.000


First-principles (GGA-PBE) data for crystalline HgMoOs2 at its relaxed geometry, as listed in Alexandria via LeMat-Bulk.

- Spin magnetization: 0.0001 μB per atom
- VASP energy: -31.11 eV per cell
- E_form: 0.621 eV per atom
- Space-group type: Cmmm

abc: 2.779 2.779 9.572
angles: 90.00 90.00 116.52
Fractional coordinates of all 4 atoms:
Hg: 0.500 0.500 0.250
Mo: 0.500 0.500 0.750
Os: 0.000 0.000 0.979
Os: 0.000 0.000 0.521


First-principles (GGA-PBE) data for crystalline KCd2Si at its relaxed geometry, as listed in Alexandria via LeMat-Bulk.

- Spin magnetization: 0.0000 μB per atom
- E_form (uncorrected): 26 kJ per mole of atoms
- VASP energy: -7.26 eV per cell
- Space-group type: Immm

abc: 5.892 5.892 5.892
angles: 139.05 122.22 73.23
Fractional coordinates of all 4 atoms:
Cd: 0.053 0.053 0.000
Cd: 0.447 0.447 0.000
K: 0.750 0.250 0.500
Si: 0.250 0.750 0.500